No. 1
# YTlSi2 (meta-GGA SCAN, PBEsol geometry)
data_YTlSi2
_space_group_name_H-M_alt 'C 1 m 1'
_space_group_IT_number 8
_cell_length_a 10.689
_cell_length_b 3.690
_cell_length_c 4.655
_cell_angle_alpha 90.00
_cell_angle_beta 115.14
_cell_angle_gamma 90.00
loop_
_space_group_symop_operation_xyz
'x,y,z'
'x,-y,z'
'x+1/2,y+1/2,z'
'x+1/2,-y+1/2,z'
loop_
_atom_site_label
_atom_site_type_symbol
_atom_site_fract_x
_atom_site_fract_y
_atom_site_fract_z
Y1 Y 0.000 0.000 0.000
Tl1 Tl 0.219 0.000 0.714
Si1 Si 0.265 0.500 0.258
Si2 Si 0.431 0.000 0.432
# * formation energy (no corrections): -0.150 eV per atom
# * density: 7.0 g cm⁻³

---

No. 2
# YTlSi (meta-GGA SCAN, PBEsol geometry)
data_YTlSi
_space_group_name_H-M_alt 'P 3 m 1'
_space_group_IT_number 156
_cell_length_a 4.2373
_cell_length_b 4.2373
_cell_length_c 4.5366
_cell_angle_alpha 90.00
_cell_angle_beta 90.00
_cell_angle_gamma 120.00
loop_
_space_group_symop_operation_xyz
'x,y,z'
'-y,x-y,z'
'-x+y,-x,z'
'-y,-x,z'
'-x+y,y,z'
'x,x-y,z'
loop_
_atom_site_label
_atom_site_type_symbol
_atom_site_fract_x
_atom_site_fract_y
_atom_site_fract_z
Y1 Y 0.0000 0.0000 0.0000
Tl1 Tl 0.6667 0.3333 0.4247
Si1 Si 0.3333 0.6667 0.6744
# * formation energy (no corrections): -0.386 eV per atom
# * density: 7.6 g cm⁻³

---

No. 3
# YTlSi4 (meta-GGA SCAN, PBEsol geometry)
data_YTlSi4
_space_group_name_H-M_alt 'F -4 3 m'
_space_group_IT_number 216
_space_group_name_Hall 'F -4 2 3'
_cell_length_a 7.526
_cell_length_b 7.526
_cell_length_c 7.526
_cell_angle_alpha 90.00
_cell_angle_beta 90.00
_cell_angle_gamma 90.00
loop_
_atom_site_label
_atom_site_type_symbol
_atom_site_fract_x
_atom_site_fract_y
_atom_site_fract_z
Y1 Y 0.000 0.000 0.000
Tl1 Tl 0.250 0.250 0.750
Si1 Si 0.124 0.124 0.376
# * formation energy (no corrections): 0.087 eV per atom
# * density: 6.3 g cm⁻³

---

No. 4
# Y3TlSi (meta-GGA SCAN, PBEsol geometry)
data_Y3TlSi
_space_group_name_H-M_alt 'P m -3 m'
_space_group_IT_number 221
_space_group_name_Hall '-P 4 2 3'
_cell_length_a 5.527
_cell_length_b 5.527
_cell_length_c 5.527
_cell_angle_alpha 90.00
_cell_angle_beta 90.00
_cell_angle_gamma 90.00
loop_
_atom_site_label
_atom_site_type_symbol
_atom_site_fract_x
_atom_site_fract_y
_atom_site_fract_z
Y1 Y 0.000 0.000 0.500
Tl1 Tl 0.000 0.000 0.000
Si1 Si 0.500 0.500 0.500
# * formation energy (no corrections): 0.278 eV per atom
# * density: 4.9 g cm⁻³

---

No. 5
# Tl2ZnSi2 (meta-GGA SCAN, PBEsol geometry)
data_Tl2ZnSi2
_space_group_name_H-M_alt 'I 4/m m m'
_space_group_IT_number 139
_space_group_name_Hall '-I 4 2'
_cell_length_a 3.451
_cell_length_b 3.451
_cell_length_c 17.927
_cell_angle_alpha 90.00
_cell_angle_beta 90.00
_cell_angle_gamma 90.00
loop_
_atom_site_label
_atom_site_type_symbol
_atom_site_fract_x
_atom_site_fract_y
_atom_site_fract_z
Tl1 Tl 0.000 0.000 0.104
Zn1 Zn 0.000 0.000 0.500
Si1 Si 0.000 0.500 0.250
# * formation energy (no corrections): 0.398 eV per atom
# * density: 8.3 g cm⁻³

---

No. 6
# TlZn2Si (meta-GGA SCAN, PBEsol geometry)
data_TlZn2Si
_space_group_name_H-M_alt 'P 4/m m m'
_space_group_IT_number 123
_space_group_name_Hall '-P 4 2'
_cell_length_a 3.084
_cell_length_b 3.084
_cell_length_c 7.701
_cell_angle_alpha 90.00
_cell_angle_beta 90.00
_cell_angle_gamma 90.00
loop_
_atom_site_label
_atom_site_type_symbol
_atom_site_fract_x
_atom_site_fract_y
_atom_site_fract_z
Tl1 Tl 0.000 0.000 0.000
Zn1 Zn 0.500 0.500 0.299
Si1 Si 0.000 0.000 0.500
# * formation energy (no corrections): 0.394 eV per atom
# * density: 8.2 g cm⁻³

---

No. 7
# ZrTl2Si (meta-GGA SCAN, PBEsol geometry)
data_ZrTl2Si
_space_group_name_H-M_alt 'I m m m'
_space_group_IT_number 71
_space_group_name_Hall '-I 2 2'
_cell_length_a 3.569
_cell_length_b 3.847
_cell_length_c 14.332
_cell_angle_alpha 90.00
_cell_angle_beta 90.00
_cell_angle_gamma 90.00
loop_
_atom_site_label
_atom_site_type_symbol
_atom_site_fract_x
_atom_site_fract_y
_atom_site_fract_z
Zr1 Zr 0.000 0.000 0.000
Tl1 Tl 0.000 0.500 0.319
Si1 Si 0.000 0.000 0.500
# * formation energy (no corrections): -0.011 eV per atom
# * E above lowest polymorph: 0.000 eV per formula unit
# * density: 8.9 g cm⁻³

---

No. 8
# ZrTl2Si (meta-GGA SCAN, PBEsol geometry)
data_ZrTl2Si
_space_group_name_H-M_alt 'P 4/m m m'
_space_group_IT_number 123
_space_group_name_Hall '-P 4 2'
_cell_length_a 5.165
_cell_length_b 5.165
_cell_length_c 3.281
_cell_angle_alpha 90.00
_cell_angle_beta 90.00
_cell_angle_gamma 90.00
loop_
_atom_site_label
_atom_site_type_symbol
_atom_site_fract_x
_atom_site_fract_y
_atom_site_fract_z
Zr1 Zr 0.000 0.000 0.000
Tl1 Tl 0.000 0.500 0.500
Si1 Si 0.500 0.500 0.000
# * formation energy (no corrections): 0.318 eV per atom
# * E above lowest polymorph: 1.316 eV per formula unit
# * density: 10.0 g cm⁻³

---

No. 9
# ZrTl2Si (meta-GGA SCAN, PBEsol geometry)
data_ZrTl2Si
_space_group_name_H-M_alt 'R -3 m'
_space_group_IT_number 166
_space_group_name_Hall '-R 3 2"'
_cell_length_a 3.3131
_cell_length_b 3.3131
_cell_length_c 27.6473
_cell_angle_alpha 90.00
_cell_angle_beta 90.00
_cell_angle_gamma 120.00
loop_
_atom_site_label
_atom_site_type_symbol
_atom_site_fract_x
_atom_site_fract_y
_atom_site_fract_z
Zr1 Zr 0.0000 0.0000 0.0000
Tl1 Tl 0.0000 0.0000 0.2454
Si1 Si 0.0000 0.0000 0.5000
# * formation energy (no corrections): 0.311 eV per atom
# * E above lowest polymorph: 1.290 eV per formula unit
# * density: 10.0 g cm⁻³

---

No. 10
# ZrTl2Si (meta-GGA SCAN, PBEsol geometry)
data_ZrTl2Si
_space_group_name_H-M_alt 'P m m m'
_space_group_IT_number 47
_cell_length_a 3.497
_cell_length_b 4.175
_cell_length_c 5.868
_cell_angle_alpha 90.00
_cell_angle_beta 90.00
_cell_angle_gamma 90.00
loop_
_space_group_symop_operation_xyz
'x,y,z'
'-x,-y,-z'
'-x,-y,z'
'x,y,-z'
'x,-y,-z'
'-x,y,z'
'-x,y,-z'
'x,-y,z'
loop_
_atom_site_label
_atom_site_type_symbol
_atom_site_fract_x
_atom_site_fract_y
_atom_site_fract_z
Zr1 Zr 0.000 0.000 0.000
Tl1 Tl 0.500 0.500 0.253
Si1 Si 0.000 0.000 0.500
# * formation energy (no corrections): 0.234 eV per atom
# * E above lowest polymorph: 0.981 eV per formula unit
# * density: 10.2 g cm⁻³

---

No. 11
# ZrTl2Si (meta-GGA SCAN, PBEsol geometry)
data_ZrTl2Si
_space_group_name_H-M_alt 'R 3 m'
_space_group_IT_number 160
_space_group_name_Hall 'R 3 -2"'
_cell_length_a 3.3016
_cell_length_b 3.3016
_cell_length_c 28.3925
_cell_angle_alpha 90.00
_cell_angle_beta 90.00
_cell_angle_gamma 120.00
loop_
_atom_site_label
_atom_site_type_symbol
_atom_site_fract_x
_atom_site_fract_y
_atom_site_fract_z
Zr1 Zr 0.0000 0.0000 0.0000
Tl1 Tl 0.0000 0.0000 0.5142
Tl2 Tl 0.0000 0.0000 0.7535
Si1 Si 0.0000 0.0000 0.2628
# * formation energy (no corrections): 0.144 eV per atom
# * E above lowest polymorph: 0.622 eV per formula unit
# * density: 9.8 g cm⁻³

---

No. 12
# Tm5Si3 (meta-GGA SCAN, PBEsol geometry)
data_Tm5Si3
_space_group_name_H-M_alt 'P 63/m c m'
_space_group_IT_number 193
_space_group_name_Hall '-P 6c 2'
_cell_length_a 8.2257
_cell_length_b 8.2257
_cell_length_c 6.1394
_cell_angle_alpha 90.00
_cell_angle_beta 90.00
_cell_angle_gamma 120.00
loop_
_atom_site_label
_atom_site_type_symbol
_atom_site_fract_x
_atom_site_fract_y
_atom_site_fract_z
Tm1 Tm 0.0000 0.2420 0.2500
Tm2 Tm 0.3333 0.6667 0.0000
Si1 Si 0.0000 0.3955 0.7500
# * formation energy (no corrections): -0.746 eV per atom
# * density: 8.6 g cm⁻³

---

No. 13
# U3Si2 (meta-GGA SCAN, PBEsol geometry)
data_U3Si2
_space_group_name_H-M_alt 'P 4/m b m'
_space_group_IT_number 127
_space_group_name_Hall '-P 4 2ab'
_cell_length_a 7.043
_cell_length_b 7.043
_cell_length_c 3.816
_cell_angle_alpha 90.00
_cell_angle_beta 90.00
_cell_angle_gamma 90.00
loop_
_atom_site_label
_atom_site_type_symbol
_atom_site_fract_x
_atom_site_fract_y
_atom_site_fract_z
U1 U 0.000 0.000 0.000
U2 U 0.186 0.314 0.500
Si1 Si 0.116 0.616 0.000
# * formation energy (no corrections): 0.071 eV per atom
# * density: 13.5 g cm⁻³

---

No. 14
# V5Si3 (meta-GGA SCAN, PBEsol geometry)
data_V5Si3
_space_group_name_H-M_alt 'P 63/m c m'
_space_group_IT_number 193
_space_group_name_Hall '-P 6c 2'
_cell_length_a 7.0496
_cell_length_b 7.0496
_cell_length_c 4.7812
_cell_angle_alpha 90.00
_cell_angle_beta 90.00
_cell_angle_gamma 120.00
loop_
_atom_site_label
_atom_site_type_symbol
_atom_site_fract_x
_atom_site_fract_y
_atom_site_fract_z
V1 V 0.0000 0.2444 0.2500
V2 V 0.3333 0.6667 0.0000
Si1 Si 0.0000 0.3957 0.7500
# * formation energy (no corrections): -0.549 eV per atom
# * E above lowest polymorph: 0.104 eV per formula unit
# * density: 5.5 g cm⁻³

---

No. 15
# V5Si3 (meta-GGA SCAN, PBEsol geometry)
data_V5Si3
_space_group_name_H-M_alt 'I 4/m c m'
_space_group_IT_number 140
_space_group_name_Hall '-I 4 2c'
_cell_length_a 6.133
_cell_length_b 6.133
_cell_length_c 10.926
_cell_angle_alpha 90.00
_cell_angle_beta 90.00
_cell_angle_gamma 90.00
loop_
_atom_site_label
_atom_site_type_symbol
_atom_site_fract_x
_atom_site_fract_y
_atom_site_fract_z
V1 V 0.000 0.000 0.000
V2 V 0.165 0.335 0.152
Si1 Si 0.000 0.000 0.250
Si2 Si 0.133 0.367 0.500
# * formation energy (no corrections): -0.562 eV per atom
# * E above lowest polymorph: 0.000 eV per formula unit
# * density: 5.5 g cm⁻³

---

No. 16
# ZrVSi (meta-GGA SCAN, PBEsol geometry)
data_ZrVSi
_space_group_name_H-M_alt 'P 4/n m m'
_space_group_IT_number 129
_cell_length_a 3.645
_cell_length_b 3.645
_cell_length_c 7.178
_cell_angle_alpha 90.00
_cell_angle_beta 90.00
_cell_angle_gamma 90.00
loop_
_space_group_symop_operation_xyz
'x,y,z'
'-x,-y,-z'
'-y+1/2,x,z'
'y+1/2,-x,-z'
'-x+1/2,-y+1/2,z'
'x+1/2,y+1/2,-z'
'y,-x+1/2,z'
'-y,x+1/2,-z'
'x+1/2,-y,-z'
'-x+1/2,y,z'
'-y,-x,-z'
'y,x,z'
'-x,y+1/2,-z'
'x,-y+1/2,z'
'y+1/2,x+1/2,-z'
'-y+1/2,-x+1/2,z'
loop_
_atom_site_label
_atom_site_type_symbol
_atom_site_fract_x
_atom_site_fract_y
_atom_site_fract_z
Zr1 Zr 0.250 0.250 0.141
V1 V 0.250 0.750 0.500
Si1 Si 0.250 0.250 0.746
# * formation energy (no corrections): -0.789 eV per atom
# * density: 5.9 g cm⁻³

---

No. 17
# Zr2V3Si (meta-GGA SCAN, PBEsol geometry)
data_Zr2V3Si
_space_group_name_H-M_alt 'P 63/m m c'
_space_group_IT_number 194
_space_group_name_Hall '-P 6c 2c'
_cell_length_a 5.0359
_cell_length_b 5.0359
_cell_length_c 8.5965
_cell_angle_alpha 90.00
_cell_angle_beta 90.00
_cell_angle_gamma 120.00
loop_
_atom_site_label
_atom_site_type_symbol
_atom_site_fract_x
_atom_site_fract_y
_atom_site_fract_z
Zr1 Zr 0.3333 0.6667 0.0598
V1 V 0.1727 0.3453 0.7500
Si1 Si 0.0000 0.0000 0.0000
# * formation energy (no corrections): -0.290 eV per atom
# * density: 6.4 g cm⁻³

---

No. 18
# Si2W (meta-GGA SCAN, PBEsol geometry)
data_Si2W
_space_group_name_H-M_alt 'I 4/m c m'
_space_group_IT_number 140
_space_group_name_Hall '-I 4 2c'
_cell_length_a 5.960
_cell_length_b 5.960
_cell_length_c 5.129
_cell_angle_alpha 90.00
_cell_angle_beta 90.00
_cell_angle_gamma 90.00
loop_
_atom_site_label
_atom_site_type_symbol
_atom_site_fract_x
_atom_site_fract_y
_atom_site_fract_z
Si1 Si 0.141 0.359 0.000
W1 W 0.000 0.000 0.250
# * formation energy (no corrections): 0.059 eV per atom
# * E above lowest polymorph: 1.020 eV per formula unit
# * density: 8.7 g cm⁻³

---

No. 19
# Si3W4 (meta-GGA SCAN, PBEsol geometry)
data_Si3W4
_space_group_name_H-M_alt 'I 4/m m m'
_space_group_IT_number 139
_space_group_name_Hall '-I 4 2'
_cell_length_a 3.153
_cell_length_b 3.153
_cell_length_c 19.924
_cell_angle_alpha 90.00
_cell_angle_beta 90.00
_cell_angle_gamma 90.00
loop_
_atom_site_label
_atom_site_type_symbol
_atom_site_fract_x
_atom_site_fract_y
_atom_site_fract_z
Si1 Si 0.000 0.000 0.000
Si2 Si 0.000 0.000 0.285
W1 W 0.000 0.000 0.152
W2 W 0.000 0.000 0.430
# * formation energy (no corrections): -0.030 eV per atom
# * density: 13.7 g cm⁻³

---

No. 20
# SiW (meta-GGA SCAN, PBEsol geometry)
data_SiW
_space_group_name_H-M_alt 'P -6 m 2'
_space_group_IT_number 187
_space_group_name_Hall 'P -6 2'
_cell_length_a 3.1123
_cell_length_b 3.1123
_cell_length_c 3.4950
_cell_angle_alpha 90.00
_cell_angle_beta 90.00
_cell_angle_gamma 120.00
loop_
_atom_site_label
_atom_site_type_symbol
_atom_site_fract_x
_atom_site_fract_y
_atom_site_fract_z
Si1 Si 0.0000 0.0000 0.0000
W1 W 0.3333 0.6667 0.5000
# * formation energy (no corrections): 0.009 eV per atom
# * density: 12.0 g cm⁻³